Below is Pm3TlPd3 after structural relaxation, with properties calculated at the PBE level.

a = 8.9661 Å, b = 8.9661 Å, c = 5.7377 Å
α = 90.00°, β = 90.00°, γ = 120.00°
Space group P6_3/m (No. 176)
Symmetry-distinct sites (fractional):
Pm1 0.0278 0.6943 0.2500 [6 per cell]
Tl1 0.3333 0.6667 0.7500 [2 per cell]
Pd1 0.0222 0.6674 0.7500 [6 per cell]

Formation energy from the elements: -477 meV per atom
Spin magnetization: 0.00 μB per cell